Density functional theory data (GGA-PBE) for crystalline MgCrW2 at its relaxed geometry.

energy above the most stable polymorph in this dataset	0	meV/atom
DFT formation energy	297	meV per atom

Unit cell a=2.713 b=2.713 c=8.990 alpha=90.00 beta=90.00 gamma=109.47
Sites, in units of the cell vectors:
Mg 0.000 0.000 0.000
Cr 0.000 0.000 0.500
W 0.500 0.500 0.272
W 0.500 0.500 0.728